Run A
The following is a DFT calculation (PBE) of a geometry-optimized K2NdAgI6 structure.

Cell lengths 8.652, 8.652, 8.652 Å; angles 60.00, 60.00, 60.00 degrees
Sites, in units of the cell vectors:
K1 0.250 0.250 0.250
K2 0.750 0.750 0.750
Nd1 0.000 0.000 0.000
Ag1 0.500 0.500 0.500
I1 0.253 0.253 0.747
I2 0.253 0.747 0.253
I3 0.253 0.747 0.747
I4 0.747 0.253 0.253
I5 0.747 0.253 0.747
I6 0.747 0.747 0.253

Total moment ... 0.0 μB/f.u.
Density ... 3959 kg/m³


Run B
The following is a DFT calculation (PBE) of a geometry-optimized K2NdAgI6 structure.

Cell lengths 9.282, 9.282, 9.282 Å; angles 54.19, 54.19, 54.19 degrees
Sites, in units of the cell vectors:
K1 0.000 0.000 0.000
K2 0.490 0.490 0.490
Nd1 0.791 0.791 0.791
Ag1 0.211 0.211 0.211
I1 0.056 0.441 0.681
I2 0.148 0.928 0.575
I3 0.441 0.681 0.056
I4 0.575 0.148 0.928
I5 0.681 0.056 0.441
I6 0.928 0.575 0.148

Total moment ... 0.0 μB/f.u.
Density ... 3708 kg/m³


The most stable structure shown above is run B; the least stable is run A.